First-principles (PBE-GGA) data for a relaxed Zn4Au5 crystal, as listed in Alexandria.

```
9
Lattice="5.071 -4.401 0.000 5.071 4.401 0.000 -1.238 0.000 3.337" Properties=species:S:1:pos:R:3 pbc="T T T"
Zn 2.390 2.864 2.796
Zn 6.513 2.864 0.542
Zn 2.390 -2.864 2.796
Zn 6.513 -2.864 0.542
Au -0.619 0.000 1.669
Au 2.113 0.000 2.691
Au 4.451 1.474 1.669
Au 4.451 -1.474 1.669
Au 6.790 0.000 0.647
```

Output
For the calculated total energy, the calculation gives -2.56 eV per atom. The formation energy comes out at -0.168 eV/atom. For the size of the total moment, the calculation gives 0.00 μB per formula unit. For the density of states at the Fermi level, the calculation gives 1.76 states/eV/cell.